# NaSmMg2 | the Alexandria database | PBE | optimized geometry
# crystal system	cubic
# DFT formation energy	0.10	eV/atom
# DOS at the Fermi energy	3.24	states/eV/cell
# E	-2.21	eV per atom
# relative energy among the computed polymorphs	0.050	eV per atom
# magnetization	0.00	Bohr magnetons per cell
data_NaSmMg2
_chemical_formula_sum 'Na1 Sm1 Mg2'
_cell_length_a 5.414
_cell_length_b 5.414
_cell_length_c 5.414
_cell_angle_alpha 60.00
_cell_angle_beta 60.00
_cell_angle_gamma 60.00
_symmetry_space_group_name_H-M 'P 1'
_symmetry_Int_Tables_number 1
loop_
_symmetry_equiv_pos_as_xyz
'x,y,z'
loop_
_atom_site_label
_atom_site_fract_x
_atom_site_fract_y
_atom_site_fract_z
Na1 0.000 0.000 0.000
Sm1 0.500 0.500 0.500
Mg1 0.250 0.250 0.250
Mg2 0.750 0.750 0.750